Record 1
Ac2Ni3Sb4Rh: relaxed, GGA-PBE.

The structure in CIF format:
```
data_Ac2Ni3Sb4Rh
_chemical_formula_sum 'Ac2 Ni3 Sb4 Rh1'
_space_group_name_H-M_alt 'P -4 m 2'
_space_group_IT_number 115
_cell_length_a 4.6344
_cell_length_b 4.6344
_cell_length_c 10.1939
_cell_angle_alpha 90.00
_cell_angle_beta 90.00
_cell_angle_gamma 90.00
loop_
_space_group_symop_operation_xyz
'x,y,z'
'y,-x,-z'
'-x,-y,z'
'-y,x,-z'
'-x,y,z'
'-y,-x,-z'
'x,-y,z'
'y,x,-z'
loop_
_atom_site_label
_atom_site_fract_x
_atom_site_fract_y
_atom_site_fract_z
Ac1 0.0000 0.5000 0.2426
Ni1 0.0000 0.0000 0.0000
Ni2 0.0000 0.5000 0.6175
Sb1 0.0000 0.0000 0.5000
Sb2 0.0000 0.5000 0.8712
Sb3 0.5000 0.5000 0.5000
Rh1 0.5000 0.5000 0.0000
```

Results
VASP energy	-56.4	eV per cell



Record 2
Ac2Si3Ni12Rh: relaxed, GGA-PBE.

The structure in CIF format:
```
data_Ac2Si3Ni12Rh
_chemical_formula_sum 'Ac6 Si9 Ni36 Rh3'
_space_group_name_H-M_alt 'R -3 m'
_space_group_IT_number 166
_space_group_name_Hall '-R 3 2"'
_cell_length_a 7.6990
_cell_length_b 7.6990
_cell_length_c 17.7351
_cell_angle_alpha 90.00
_cell_angle_beta 90.00
_cell_angle_gamma 120.00
loop_
_atom_site_label
_atom_site_fract_x
_atom_site_fract_y
_atom_site_fract_z
Ac1 0.0000 0.0000 0.1134
Si1 0.0000 0.5000 0.0000
Ni1 0.0022 0.5011 0.8761
Ni2 0.0466 0.5233 0.3746
Rh1 0.0000 0.0000 0.5000
```

Results
VASP energy	-295.8	eV per cell



Record 3
AcSi2NiRh: relaxed, GGA-PBE.

The structure in CIF format:
```
data_AcSi2NiRh
_chemical_formula_sum 'Ac2 Si4 Ni2 Rh2'
_space_group_name_H-M_alt 'I -4 m 2'
_space_group_IT_number 119
_space_group_name_Hall 'I -4 -2'
_cell_length_a 4.2017
_cell_length_b 4.2017
_cell_length_c 10.4638
_cell_angle_alpha 90.00
_cell_angle_beta 90.00
_cell_angle_gamma 90.00
loop_
_atom_site_label
_atom_site_fract_x
_atom_site_fract_y
_atom_site_fract_z
Ac1 0.0000 0.0000 0.0000
Si1 0.0000 0.0000 0.3599
Ni1 0.0000 0.5000 0.7500
Rh1 0.0000 0.5000 0.2500
```

Results
VASP energy	-64.1	eV per cell



Record 4
Ac2Si4NiRh3: relaxed, GGA-PBE.

The structure in CIF format:
```
data_Ac2Si4NiRh3
_chemical_formula_sum 'Ac2 Si4 Ni1 Rh3'
_space_group_name_H-M_alt 'P -4 m 2'
_space_group_IT_number 115
_cell_length_a 4.3026
_cell_length_b 4.3026
_cell_length_c 9.9681
_cell_angle_alpha 90.00
_cell_angle_beta 90.00
_cell_angle_gamma 90.00
loop_
_space_group_symop_operation_xyz
'x,y,z'
'y,-x,-z'
'-x,-y,z'
'-y,x,-z'
'-x,y,z'
'-y,-x,-z'
'x,-y,z'
'y,x,-z'
loop_
_atom_site_label
_atom_site_fract_x
_atom_site_fract_y
_atom_site_fract_z
Ac1 0.0000 0.5000 0.2490
Si1 0.0000 0.0000 0.0000
Si2 0.0000 0.5000 0.6171
Si3 0.5000 0.5000 0.0000
Ni1 0.0000 0.0000 0.5000
Rh1 0.0000 0.5000 0.8754
Rh2 0.5000 0.5000 0.5000
```

Results
VASP energy	-66.2	eV per cell